(1)
A plane-wave DFT calculation with PBE was carried out for SrMn2CrMo after structural relaxation.

Unit cell a=4.859 b=4.859 c=4.813 alpha=90.00 beta=90.00 gamma=90.00
Space group P4/mmm (No. 123)
Asymmetric unit:
1 Sr 0.000 0.000 0.000
2 Mn 0.000 0.500 0.500
3 Cr 0.500 0.500 0.000
4 Mo 0.500 0.500 0.500

Values from the calculation:
total energy: -36.02 eV for the cell shown
spin magnetization: 9.41 μB per cell


(2)
A plane-wave DFT calculation with PBE was carried out for TaMnCr2Mo after structural relaxation.

Unit cell a=4.422 b=4.422 c=4.357 alpha=90.00 beta=90.00 gamma=90.00
Space group P4/mmm (No. 123)
Asymmetric unit:
1 Ta 0.000 0.000 0.000
2 Mn 0.000 0.000 0.500
3 Cr 0.000 0.500 0.000
4 Mo 0.500 0.500 0.500

Values from the calculation:
total energy: -41.37 eV for the cell shown
spin magnetization: 0.00 μB per cell


(3)
A plane-wave DFT calculation with PBE was carried out for TaMnCr2Mo after structural relaxation.

Unit cell a=4.566 b=4.566 c=4.764 alpha=90.00 beta=90.00 gamma=90.00
Space group P4/mmm (No. 123)
Asymmetric unit:
1 Ta 0.000 0.000 0.000
2 Mn 0.500 0.500 0.500
3 Cr 0.000 0.500 0.000
4 Mo 0.000 0.000 0.500

Values from the calculation:
total energy: -40.28 eV for the cell shown
spin magnetization: 3.81 μB per cell


Energy of formation values (in meV/atom) by entry order: 892; 1946; 2164.